This record from the Alexandria database describes LiTl2In at its PBEsol-relaxed geometry. The functional is SCAN.

```
data_LiTl2In
_chemical_formula_sum 'Li3 Tl6 In3'
_cell_length_a 3.4074
_cell_length_b 3.4074
_cell_length_c 28.9493
_cell_angle_alpha 90.00
_cell_angle_beta 90.00
_cell_angle_gamma 120.00
_symmetry_space_group_name_H-M 'R 3 m'
_symmetry_Int_Tables_number 160
_symmetry_space_group_name_Hall 'R 3 -2"'
loop_
_atom_site_label
_atom_site_type_symbol
_atom_site_fract_x
_atom_site_fract_y
_atom_site_fract_z
Li1 Li 0.0000 0.0000 0.0000
Tl1 Tl 0.0000 0.0000 0.5019
Tl2 Tl 0.0000 0.0000 0.7432
In1 In 0.0000 0.0000 0.2581
```

Results
ΔH_f (0 K): -0.092 eV per atom

=====

This record from the Alexandria database describes PrSi2Ir3 at its PBEsol-relaxed geometry. The functional is SCAN.

```
data_PrSi2Ir3
_chemical_formula_sum 'Pr4 Si8 Ir12'
_cell_length_a 7.214
_cell_length_b 9.698
_cell_length_c 5.576
_cell_angle_alpha 90.00
_cell_angle_beta 90.00
_cell_angle_gamma 90.00
_symmetry_space_group_name_H-M 'I m m a'
_symmetry_Int_Tables_number 74
_symmetry_space_group_name_Hall '-I 2b 2'
loop_
_atom_site_label
_atom_site_type_symbol
_atom_site_fract_x
_atom_site_fract_y
_atom_site_fract_z
Pr1 Pr 0.000 0.250 0.224
Si1 Si 0.000 0.080 0.702
Ir1 Ir 0.221 0.000 0.000
Ir2 Ir 0.250 0.250 0.750
```

Results
ΔE_f (raw): -1093 meV per atom

=====

This record from the Alexandria database describes NiAsIrBr2 at its PBEsol-relaxed geometry. The functional is SCAN.

```
data_NiAsIrBr2
_chemical_formula_sum 'Ni1 As1 Ir1 Br2'
_cell_length_a 4.624
_cell_length_b 4.624
_cell_length_c 4.557
_cell_angle_alpha 90.00
_cell_angle_beta 90.00
_cell_angle_gamma 90.00
_symmetry_space_group_name_H-M 'P 4/m m m'
_symmetry_Int_Tables_number 123
_symmetry_space_group_name_Hall '-P 4 2'
loop_
_atom_site_label
_atom_site_type_symbol
_atom_site_fract_x
_atom_site_fract_y
_atom_site_fract_z
Ni1 Ni 0.000 0.000 0.000
As1 As 0.000 0.000 0.500
Ir1 Ir 0.500 0.500 0.500
Br1 Br 0.000 0.500 0.000
```

Results
ΔE_f (raw): 1178 meV per atom

=====

This record from the Alexandria database describes NaHf2GaP at its PBEsol-relaxed geometry. The functional is SCAN.

```
data_NaHf2GaP
_chemical_formula_sum 'Na1 Hf2 Ga1 P1'
_cell_length_a 4.885
_cell_length_b 4.885
_cell_length_c 4.447
_cell_angle_alpha 90.00
_cell_angle_beta 90.00
_cell_angle_gamma 90.00
_symmetry_space_group_name_H-M 'P 4/m m m'
_symmetry_Int_Tables_number 123
_symmetry_space_group_name_Hall '-P 4 2'
loop_
_atom_site_label
_atom_site_type_symbol
_atom_site_fract_x
_atom_site_fract_y
_atom_site_fract_z
Na1 Na 0.000 0.000 0.000
Hf1 Hf 0.000 0.500 0.000
Ga1 Ga 0.000 0.000 0.500
P1 P 0.500 0.500 0.500
```

Results
ΔH_f (0 K): 1.522 eV per atom

=====

This record from the Alexandria database describes Sc2ICl at its PBEsol-relaxed geometry. The functional is SCAN.

```
data_Sc2ICl
_chemical_formula_sum 'Sc8 I4 Cl4'
_cell_length_a 6.830
_cell_length_b 6.830
_cell_length_c 6.830
_cell_angle_alpha 90.00
_cell_angle_beta 90.00
_cell_angle_gamma 90.00
_symmetry_space_group_name_H-M 'F m -3 m'
_symmetry_Int_Tables_number 225
_symmetry_space_group_name_Hall '-F 4 2 3'
loop_
_atom_site_label
_atom_site_type_symbol
_atom_site_fract_x
_atom_site_fract_y
_atom_site_fract_z
Sc1 Sc 0.250 0.250 0.250
I1 I 0.000 0.000 0.000
Cl1 Cl 0.000 0.000 0.500
```

Results
excess energy over the best structure of this formula in the dataset: 79 meV per atom
ΔE_f (raw): -687 meV per atom

=====

This record from the Alexandria database describes SrNi2Te3Cl2O8 at its PBEsol-relaxed geometry. The functional is SCAN.

```
data_SrNi2Te3Cl2O8
_chemical_formula_sum 'Sr4 Ni8 Te12 Cl8 O32'
_cell_length_a 6.608
_cell_length_b 8.720
_cell_length_c 19.391
_cell_angle_alpha 90.00
_cell_angle_beta 109.38
_cell_angle_gamma 90.00
_symmetry_space_group_name_H-M 'P 1 21/c 1'
_symmetry_Int_Tables_number 14
loop_
_symmetry_equiv_pos_as_xyz
'x,y,z'
'-x,-y,-z'
'-x,y+1/2,-z+1/2'
'x,-y+1/2,z+1/2'
loop_
_atom_site_label
_atom_site_type_symbol
_atom_site_fract_x
_atom_site_fract_y
_atom_site_fract_z
Sr1 Sr 0.021 0.072 0.280
Ni1 Ni 0.321 0.543 0.681
Ni2 Ni 0.407 0.744 0.315
Te1 Te 0.031 0.248 0.118
Te2 Te 0.317 0.069 0.899
Te3 Te 0.391 0.593 0.133
Cl1 Cl 0.233 0.595 0.555
Cl2 Cl 0.491 0.220 0.558
O1 O 0.020 0.005 0.851
O2 O 0.092 0.711 0.808
O3 O 0.126 0.033 0.627
O4 O 0.301 0.185 0.183
O5 O 0.304 0.229 0.363
O6 O 0.313 0.729 0.199
O7 O 0.379 0.513 0.316
O8 O 0.410 0.531 0.794
```

Results
ΔE_f (raw): -1500 meV per atom

=====

Ordered uncorrected energy results: -45.22 -47.20 -28.10 -29.74 -18.99 -16.01; unit eV per atom.